## NdYIr (GGA-PBE)

Data for a relaxed structure of NdYIr.

Lattice parameters (Å, degrees): 6.5054 6.5096 8.0537 90.00 113.72 90.00
Space group C2/m (No. 12)
Inequivalent atoms, fractional coordinates:
Nd 0.1865 0.0000 0.3732
Y 0.2500 0.2500 0.0000
Ir 0.1243 0.5000 0.2508

The calculation puts the size of the total moment at 0.000 μB/cell. For the total energy, the calculation gives -7.22 eV per atom. The formation energy comes out at -0.526 eV/atom.